Record 1
## YZr2Tc (GGA-PBEsol)

Data for YZr2Tc after structural relaxation.

Computed properties:
- DFT formation energy: -0.11 eV per atom
- DFT total energy: -9.18 eV per atom
- Fermi-level density of states: 0.79 states/eV/atom
- Excess energy over the best structure of this formula in the dataset: 0.000 eV per atom

```
data_YZr2Tc
_cell_length_a 3.3698
_cell_length_b 5.1137
_cell_length_c 5.8339
_cell_angle_alpha 115.99
_cell_angle_beta 106.79
_cell_angle_gamma 90.00
_space_group_name_H-M_alt 'P 1'
_space_group_IT_number 1
loop_
_space_group_symop_operation_xyz
'x,y,z'
loop_
_atom_site_label
_atom_site_fract_x
_atom_site_fract_y
_atom_site_fract_z
Zr1 0.2082 0.2082 0.4164
Zr2 0.7918 0.7918 0.5836
Y1 0.0000 0.5000 0.0000
Tc1 0.5000 0.0000 0.0000
```

---

Record 2
## RbLi2Bi2 (GGA-PBEsol)

Data for RbLi2Bi2 after structural relaxation.

Computed properties:
- DFT formation energy: -0.38 eV per atom
- DFT total energy: -3.09 eV per atom
- Fermi-level density of states: 0.46 states/eV/atom
- Excess energy over the best structure of this formula in the dataset: 0.030 eV per atom

```
data_RbLi2Bi2
_cell_length_a 5.0236
_cell_length_b 5.0236
_cell_length_c 6.8450
_cell_angle_alpha 111.53
_cell_angle_beta 111.53
_cell_angle_gamma 90.00
_space_group_name_H-M_alt 'P 1'
_space_group_IT_number 1
loop_
_space_group_symop_operation_xyz
'x,y,z'
loop_
_atom_site_label
_atom_site_fract_x
_atom_site_fract_y
_atom_site_fract_z
Bi1 0.6267 0.6267 0.2534
Bi2 0.3733 0.3733 0.7466
Li1 0.2500 0.7500 0.5000
Li2 0.7500 0.2500 0.5000
Rb1 0.0000 0.0000 0.0000
```

---

Record 3
## Ca5Pd2 (GGA-PBEsol)

Data for Ca5Pd2 after structural relaxation.

Computed properties:
- DFT formation energy: -0.47 eV per atom
- DFT total energy: -3.69 eV per atom
- Fermi-level density of states: 0.51 states/eV/atom

```
data_Ca5Pd2
_cell_length_a 6.5667
_cell_length_b 7.6026
_cell_length_c 8.7532
_cell_angle_alpha 96.89
_cell_angle_beta 112.03
_cell_angle_gamma 90.00
_space_group_name_H-M_alt 'P 1'
_space_group_IT_number 1
loop_
_space_group_symop_operation_xyz
'x,y,z'
loop_
_atom_site_label
_atom_site_fract_x
_atom_site_fract_y
_atom_site_fract_z
Ca1 0.7991 0.0815 0.8190
Ca2 0.0200 0.5815 0.8190
Ca3 0.5788 0.7500 0.0000
Ca4 0.2016 0.1805 0.5650
Ca5 0.2009 0.9185 0.1810
Ca6 0.4212 0.2500 0.0000
Ca7 0.6366 0.3195 0.4350
Ca8 0.3634 0.6805 0.5650
Ca9 0.9800 0.4185 0.1810
Ca10 0.7984 0.8195 0.4350
Pd1 0.1811 0.9185 0.7787
Pd2 0.5976 0.4185 0.7787
Pd3 0.8189 0.0815 0.2213
Pd4 0.4024 0.5815 0.2213
```

---

Record 4
## LaNd3 (GGA-PBEsol)

Data for LaNd3 after structural relaxation.

Computed properties:
- DFT formation energy: 0.01 eV per atom
- DFT total energy: -5.20 eV per atom
- Fermi-level density of states: 1.67 states/eV/atom
- Excess energy over the best structure of this formula in the dataset: 0.002 eV per atom

```
data_LaNd3
_cell_length_a 5.1117
_cell_length_b 5.1117
_cell_length_c 6.2523
_cell_angle_alpha 114.13
_cell_angle_beta 114.13
_cell_angle_gamma 90.00
_space_group_name_H-M_alt 'P 1'
_space_group_IT_number 1
loop_
_space_group_symop_operation_xyz
'x,y,z'
loop_
_atom_site_label
_atom_site_fract_x
_atom_site_fract_y
_atom_site_fract_z
La1 0.0000 0.0000 0.0000
Nd1 0.5000 0.5000 0.0000
Nd2 0.2500 0.7500 0.5000
Nd3 0.7500 0.2500 0.5000
```

---

- Look up the DFT formation energy of the first one.
  -0.11 eV per atom